A plane-wave DFT calculation with PBE with a Hubbard U was carried out for a relaxed TlVN2O crystal.

Cell lengths 4.1960, 4.1960, 4.2218 Å; angles 90.00, 90.00, 90.00 degrees
Closest atoms and distances in Å follow each position.
Fractional positions:
Tl (0.0000, 0.0000, 0.0000)  4 N 2.10, 2 O 2.11
V (0.5000, 0.5000, 0.5000)  4 O 2.97, 8 N 2.98
N (0.0000, 0.5000, 0.0000)  2 Tl 2.10
N (0.5000, 0.0000, 0.0000)  2 Tl 2.10
O (0.0000, 0.0000, 0.5000)  2 Tl 2.11

Properties
raw total energy	-4.2842	eV per atom
density	6.69	g/cm3